This record from the Alexandria database describes a relaxed structure of ScAu2. The functional is GGA-PBE.

Summary:
Space group: No. 205
Energy relative to the elements: -0.219 eV per atom
Magnetization: 0.00 μB/atom
Density of states at the Fermi level: 0.5637 states/eV/atom
Final energy: -4.514 eV/atom

Cell: 6.5267 6.5267 6.5267 Å, 90.00 90.00 90.00°
Atoms (fractional coordinates):
Sc  0.0000  0.5000  0.5000
Au  0.1220  0.6220  0.8780
Au  0.6220  0.8780  0.1220
Au  0.3780  0.1220  0.8780
Au  0.8780  0.3780  0.1220
Sc  0.0000  0.0000  0.0000
Au  0.8780  0.1220  0.6220
Au  0.3780  0.3780  0.3780
Sc  0.5000  0.5000  0.0000
Au  0.6220  0.6220  0.6220
Au  0.1220  0.8780  0.3780
Sc  0.5000  0.0000  0.5000